Record 1
Compound: LiPu2Se4
Source: the Alexandria database
Functional: PBE-GGA
Structure: relaxed

```
LiPu2Se4
1.0
-4.2525 4.2525 4.4231
4.2525 -4.2525 4.4231
4.2525 4.2525 -4.4231
Li Pu Se
2 4 8
direct
0.0000 0.0000 0.0000 Li
0.7500 0.2500 0.5000 Li
0.2430 0.6250 0.1180 Pu
0.3750 0.4930 0.6180 Pu
0.5070 0.1250 0.8820 Pu
0.8750 0.7570 0.3820 Pu
0.1248 0.2351 0.7416 Se
0.1332 0.7435 0.7584 Se
0.2565 0.0149 0.3897 Se
0.4935 0.3832 0.2584 Se
0.6168 0.8752 0.1103 Se
0.6252 0.8668 0.6103 Se
0.7649 0.5065 0.8897 Se
0.9851 0.3748 0.2416 Se
```

Record 2
Compound: Li4Pu3Se8
Source: the Alexandria database
Functional: PBE-GGA
Structure: relaxed

```
Li4Pu3Se8
1.0
4.0804 2.3558 6.8063
-4.0804 2.3558 6.8063
0.0000 -4.7117 6.8063
Li Pu Se
4 3 8
direct
0.0000 0.0000 0.0000 Li
0.1349 0.1349 0.1349 Li
0.5000 0.5000 0.5000 Li
0.8651 0.8651 0.8651 Li
0.0000 0.5000 0.5000 Pu
0.5000 0.0000 0.5000 Pu
0.5000 0.5000 0.0000 Pu
0.2463 0.2463 0.7376 Se
0.2463 0.7376 0.2463 Se
0.2577 0.2577 0.2577 Se
0.2624 0.7537 0.7537 Se
0.7376 0.2463 0.2463 Se
0.7423 0.7423 0.7423 Se
0.7537 0.2624 0.7537 Se
0.7537 0.7537 0.2624 Se
```

Across the entries above, density of states at the Fermi level takes the values 2.33; 1.91 states/eV per atom, respectively.
Across the entries above, formation energy (no corrections) takes the values -1.33; -1.21 eV per atom, respectively.
Across the entries above, energy takes the values -53.8; -96.6 eV/f.u., respectively.